1.
First-principles (PBE-GGA) data for a relaxed Sm12AlCo6 crystal, as listed in the Alexandria database.

Unit cell a=9.842 b=9.842 c=9.842 alpha=90.00 beta=90.00 gamma=90.00
Space group Im-3 (No. 204)
Asymmetric unit:
Sm 0.000 0.303 0.193 (multiplicity 24)
Al 0.000 0.000 0.000 (multiplicity 2)
Co 0.000 0.112 0.500 (multiplicity 12)

Properties
energy of formation from the pure elements	-147	meV/atom
final energy	-105.80	eV per formula unit

2.
First-principles (PBE-GGA) data for a relaxed NdHo2Sn crystal, as listed in the Alexandria database.

Unit cell a=3.5886 b=3.5886 c=32.7386 alpha=90.00 beta=90.00 gamma=120.00
Space group R3m (No. 160, hexagonal axes)
Asymmetric unit:
Nd 0.0000 0.0000 0.0000 (multiplicity 3)
Ho 0.0000 0.0000 0.2432 (multiplicity 3)
Ho 0.0000 0.0000 0.4232 (multiplicity 3)
Sn 0.0000 0.0000 0.8334 (multiplicity 3)

Properties
energy relative to the lowest polymorph listed for this composition	0.80	eV per formula unit
energy of formation from the pure elements	-216	meV/atom
final energy	-18.79	eV per formula unit

3.
First-principles (PBE-GGA) data for a relaxed AlTeP crystal, as listed in the Alexandria database.

Unit cell a=3.8552 b=3.8552 c=5.0222 alpha=90.00 beta=90.00 gamma=120.00
Space group P3m1 (No. 156)
Asymmetric unit:
Al 0.0000 0.0000 0.0000 (multiplicity 1)
Te 0.3333 0.6667 0.6325 (multiplicity 1)
P 0.6667 0.3333 0.2097 (multiplicity 1)

Properties
energy relative to the elements, uncorrected	-16	meV/atom
energy relative to the lowest polymorph listed for this composition	0.00	eV per formula unit
final energy	-12.34	eV per formula unit

4.
First-principles (PBE-GGA) data for a relaxed KMoAs crystal, as listed in the Alexandria database.

Unit cell a=3.868 b=3.868 c=11.646 alpha=90.00 beta=90.00 gamma=90.00
Space group P4/nmm (No. 129, origin choice 2)
Asymmetric unit:
K 0.250 0.250 0.192 (multiplicity 2)
Mo 0.250 0.750 0.500 (multiplicity 2)
As 0.250 0.250 0.651 (multiplicity 2)

Properties
energy relative to the lowest polymorph listed for this composition	0.00	eV per formula unit
energy of formation from the pure elements	-275	meV/atom
final energy	-17.40	eV per formula unit

5.
First-principles (PBE-GGA) data for a relaxed SrBeW crystal, as listed in the Alexandria database.

Unit cell a=4.7985 b=4.7985 c=2.9201 alpha=90.00 beta=90.00 gamma=120.00
Space group P-6m2 (No. 187)
Asymmetric unit:
Sr 0.0000 0.0000 0.0000 (multiplicity 1)
Be 0.3333 0.6667 0.5000 (multiplicity 1)
W 0.6667 0.3333 0.5000 (multiplicity 1)

Properties
energy relative to the lowest polymorph listed for this composition	1.35	eV per formula unit
energy of formation from the pure elements	1268	meV/atom
final energy	-14.56	eV per formula unit

6.
First-principles (PBE-GGA) data for a relaxed TaMnAl2 crystal, as listed in the Alexandria database.

Unit cell a=4.552 b=4.552 c=2.998 alpha=90.00 beta=90.00 gamma=90.00
Space group P4/mmm (No. 123)
Asymmetric unit:
Ta 0.000 0.000 0.000 (multiplicity 1)
Mn 0.500 0.500 0.000 (multiplicity 1)
Al 0.000 0.500 0.500 (multiplicity 2)

Properties
energy relative to the lowest polymorph listed for this composition	0.68	eV per formula unit
energy of formation from the pure elements	-47	meV/atom
final energy	-28.69	eV per formula unit

7.
First-principles (PBE-GGA) data for a relaxed LaMgZn2Au4 crystal, as listed in the Alexandria database.

Unit cell a=4.5456 b=4.5456 c=26.8899 alpha=90.00 beta=90.00 gamma=120.00
Space group R-3m (No. 166, hexagonal axes)
Asymmetric unit:
La 0.0000 0.0000 0.0000 (multiplicity 3)
Mg 0.0000 0.0000 0.5000 (multiplicity 3)
Zn 0.0000 0.0000 0.2394 (multiplicity 6)
Au 0.0000 0.0000 0.1285 (multiplicity 6)
Au 0.0000 0.0000 0.3979 (multiplicity 6)

Properties
energy of formation from the pure elements	-532	meV/atom
final energy	-26.44	eV per formula unit

8.
First-principles (PBE-GGA) data for a relaxed Sb2Cl8O crystal, as listed in the Alexandria database.

Unit cell a=16.419 b=8.325 c=7.243 alpha=90.00 beta=114.14 gamma=90.00
Space group C2/m (No. 12)
Asymmetric unit:
Sb 0.118 0.000 0.215 (multiplicity 4)
Cl 0.119 0.284 0.217 (multiplicity 8)
Cl 0.131 0.000 0.549 (multiplicity 4)
Cl 0.239 0.000 0.124 (multiplicity 4)
O 0.000 0.000 0.000 (multiplicity 2)

Properties
energy relative to the elements, uncorrected	-685	meV/atom
final energy	-35.51	eV per formula unit

> The highest final energy belongs to which entry?

AlTeP

> Among the records above, which one has the highest final energy?

AlTeP

> Look up the final energy of the fifth one.

-14.56 eV per formula unit

Repeat the seventh record exactly.
First-principles (PBE-GGA) data for a relaxed LaMgZn2Au4 crystal, as listed in the Alexandria database.

Unit cell a=4.5456 b=4.5456 c=26.8899 alpha=90.00 beta=90.00 gamma=120.00
Space group R-3m (No. 166, hexagonal axes)
Asymmetric unit:
La 0.0000 0.0000 0.0000 (multiplicity 3)
Mg 0.0000 0.0000 0.5000 (multiplicity 3)
Zn 0.0000 0.0000 0.2394 (multiplicity 6)
Au 0.0000 0.0000 0.1285 (multiplicity 6)
Au 0.0000 0.0000 0.3979 (multiplicity 6)

Properties
energy of formation from the pure elements	-532	meV/atom
final energy	-26.44	eV per formula unit